(1)
Compound: CoTcIr6
Source: the Alexandria database
Functional: GGA-PBE
Structure: relaxed

Summary:
Space group   P4/mmm (123)
Formation energy   -0.06 eV/atom

Lattice parameters (Å, degrees): 3.8348 3.8348 7.6747 90.00 90.00 90.00
Sites, in units of the cell vectors:
Co 0.0000 0.0000 0.0000
Ir 0.5000 0.5000 0.0000
Ir 0.5000 0.5000 0.5000
Ir 0.0000 0.5000 0.2493
Ir 0.5000 0.0000 0.2493
Ir 0.5000 0.0000 0.7507
Ir 0.0000 0.5000 0.7507
Tc 0.0000 0.0000 0.5000

---

(2)
Compound: K3PW
Source: the Alexandria database
Functional: GGA-PBE
Structure: relaxed

Summary:
Space group   Pm-3m (221)
Formation energy   1.31 eV/atom
Energy relative to the lowest polymorph listed for this composition   0.00 eV per formula unit

Lattice parameters (Å, degrees): 6.1958 6.1958 6.1958 90.00 90.00 90.00
Sites, in units of the cell vectors:
K 0.0000 0.5000 0.0000
K 0.0000 0.0000 0.5000
K 0.5000 0.0000 0.0000
P 0.0000 0.0000 0.0000
W 0.5000 0.5000 0.5000

---

(3)
Compound: CrFe5Ni3
Source: the Alexandria database
Functional: GGA-PBE
Structure: relaxed

Summary:
Space group   I4/mcm (140)
Formation energy   0.38 eV/atom

Lattice parameters (Å, degrees): 6.3260 6.3260 7.0973 116.47 116.47 90.00
Sites, in units of the cell vectors:
Fe 0.8548 0.9322 0.2870
Fe 0.9322 0.4322 0.2870
Fe 0.1452 0.0678 0.7130
Fe 0.0678 0.5678 0.7130
Fe 0.5678 0.6452 0.7130
Fe 0.6452 0.1452 0.7130
Fe 0.4322 0.3548 0.2870
Fe 0.3548 0.8548 0.2870
Fe 0.0000 0.0000 0.0000
Fe 0.5000 0.5000 0.0000
Ni 0.7500 0.7500 0.5000
Ni 0.1181 0.3819 0.0000
Ni 0.2500 0.2500 0.5000
Ni 0.8819 0.6181 0.0000
Ni 0.3819 0.8819 0.0000
Ni 0.6181 0.1181 0.0000
Cr 0.7500 0.2500 0.5000
Cr 0.2500 0.7500 0.5000

---

(4)
Compound: SrOsF2
Source: the Alexandria database
Functional: GGA-PBE
Structure: relaxed

Summary:
Space group   R-3m (166)
Uncorrected formation energy   -766 meV per atom
Energy relative to the lowest polymorph listed for this composition   1.01 eV per formula unit

Lattice parameters (Å, degrees): 4.9941 4.9941 4.9941 49.08 49.08 49.08
Sites, in units of the cell vectors:
F 0.7844 0.7844 0.7844
F 0.2156 0.2156 0.2156
Os 0.5000 0.5000 0.5000
Sr 0.0000 0.0000 0.0000

---

(5)
Compound: U2TaCr2C4
Source: the Alexandria database
Functional: GGA-PBE
Structure: relaxed

Summary:
Space group   C2/m (12)
Formation energy   -0.14 eV/atom

Lattice parameters (Å, degrees): 3.0386 6.8711 5.5848 102.95 90.00 102.77
Sites, in units of the cell vectors:
C 0.5434 0.0868 0.7573
C 0.4566 0.9132 0.2427
C 0.7568 0.5137 0.7565
C 0.2432 0.4863 0.2435
U 0.8732 0.7463 0.4684
U 0.1268 0.2537 0.5316
Ta 0.0000 0.0000 0.0000
Cr 0.3195 0.6390 0.9690
Cr 0.6805 0.3610 0.0310

---

(6)
Compound: AcHfGaO5
Source: the Alexandria database
Functional: GGA-PBE
Structure: relaxed

Summary:
Space group   C2/c (15)
Uncorrected formation energy   -3030 meV per atom

Lattice parameters (Å, degrees): 5.9240 5.9240 7.5947 103.02 103.02 107.31
Sites, in units of the cell vectors:
Ga 0.6826 0.3174 0.2500
Ga 0.3174 0.6826 0.7500
O 0.3694 0.2543 0.0819
O 0.3081 0.8969 0.6035
O 0.2543 0.3694 0.5819
O 0.6306 0.7457 0.9181
O 0.6919 0.1031 0.3965
O 0.0749 0.9251 0.2500
O 0.9251 0.0749 0.7500
O 0.7457 0.6306 0.4181
O 0.8969 0.3081 0.1035
O 0.1031 0.6919 0.8965
Ac 0.6685 0.3315 0.7500
Ac 0.3315 0.6685 0.2500
Hf 0.0000 0.0000 0.5000
Hf 0.0000 0.0000 0.0000

---

(7)
Compound: BeInBi3
Source: the Alexandria database
Functional: GGA-PBE
Structure: relaxed

Summary:
Space group   Pm-3m (221)
Formation energy   1.24 eV/atom
Energy relative to the lowest polymorph listed for this composition   4.11 eV per formula unit

Lattice parameters (Å, degrees): 5.7745 5.7745 5.7745 90.00 90.00 90.00
Sites, in units of the cell vectors:
Bi 0.5000 0.0000 0.0000
Bi 0.0000 0.0000 0.5000
Bi 0.0000 0.5000 0.0000
Be 0.5000 0.5000 0.5000
In 0.0000 0.0000 0.0000

---

(8)
Compound: Na3Bi4Pd2
Source: the Alexandria database
Functional: GGA-PBE
Structure: relaxed

Summary:
Space group   C2/c (15)
Formation energy   -0.25 eV/atom
Energy relative to the lowest polymorph listed for this composition   0.13 eV per formula unit

Lattice parameters (Å, degrees): 6.9816 9.4777 9.4777 67.84 72.75 72.75
Sites, in units of the cell vectors:
Bi 0.4838 0.4492 0.2953
Bi 0.6725 0.0693 0.6417
Bi 0.9838 0.2953 0.4492
Bi 0.5162 0.5508 0.7047
Bi 0.8275 0.3583 0.9307
Bi 0.0162 0.7047 0.5508
Bi 0.1725 0.6417 0.0693
Bi 0.3275 0.9307 0.3583
Na 0.8459 0.0803 0.2696
Na 0.7500 0.6783 0.3217
Na 0.6541 0.7304 0.9197
Na 0.2500 0.3217 0.6783
Na 0.3459 0.2696 0.0803
Na 0.1541 0.9197 0.7304
Pd 0.1042 0.5542 0.8447
Pd 0.8958 0.4458 0.1553
Pd 0.6042 0.8447 0.5542
Pd 0.3958 0.1553 0.4458

---

(9)
Compound: Ba4CuPb3O12
Source: the Alexandria database
Functional: GGA-PBE
Structure: relaxed

Summary:
Space group   Im-3m (229)
Uncorrected formation energy   -1506 meV per atom

Lattice parameters (Å, degrees): 7.4014 7.4014 7.4014 109.47 109.47 109.47
Sites, in units of the cell vectors:
Ba 0.5000 0.5000 0.5000
Ba 0.0000 0.5000 0.0000
Ba 0.5000 0.0000 0.0000
Ba 0.0000 0.0000 0.5000
O 0.2405 0.0000 0.2405
O 0.2500 0.5000 0.7500
O 0.7500 0.2500 0.5000
O 0.0000 0.2405 0.2405
O 0.7595 0.0000 0.7595
O 0.5000 0.2500 0.7500
O 0.7500 0.5000 0.2500
O 0.2405 0.2405 0.0000
O 0.5000 0.7500 0.2500
O 0.7595 0.7595 0.0000
O 0.2500 0.7500 0.5000
O 0.0000 0.7595 0.7595
Pb 0.0000 0.5000 0.5000
Pb 0.5000 0.0000 0.5000
Pb 0.5000 0.5000 0.0000
Cu 0.0000 0.0000 0.0000

---

(10)
Compound: Ce4TlIn3
Source: the Alexandria database
Functional: GGA-PBE
Structure: relaxed

Summary:
Space group   I4/mmm (139)
Formation energy   -0.33 eV/atom
Energy relative to the lowest polymorph listed for this composition   0.00 eV per formula unit

Lattice parameters (Å, degrees): 4.8204 4.8200 10.0575 103.85 103.86 90.03
Sites, in units of the cell vectors:
Ce 0.1257 0.1258 0.2515
Ce 0.3743 0.3743 0.7485
Ce 0.8743 0.8742 0.7485
Ce 0.6257 0.6257 0.2515
In 0.7499 0.2499 0.4999
In 0.2501 0.7501 0.5001
In 0.0000 0.5000 0.0000
Tl 0.5000 0.0000 0.0000

---

(11)
Compound: CaCo2Os
Source: the Alexandria database
Functional: GGA-PBE
Structure: relaxed

Summary:
Space group   P4mm (99)
Formation energy   0.43 eV/atom
Energy relative to the lowest polymorph listed for this composition   0.29 eV per formula unit

Lattice parameters (Å, degrees): 2.8530 2.8530 7.4358 90.00 90.00 90.00
Sites, in units of the cell vectors:
Co 0.5000 0.5000 0.2342
Co 0.0000 0.0000 0.0641
Os 0.0000 0.0000 0.4413
Ca 0.5000 0.5000 0.7603

---

(12)
Compound: La2NpGaN5
Source: the Alexandria database
Functional: GGA-PBE
Structure: relaxed

Summary:
Space group   Cmc2_1 (36)
Uncorrected formation energy   -1036 meV per atom

Lattice parameters (Å, degrees): 3.4939 7.3781 10.6326 90.00 90.00 103.70
Sites, in units of the cell vectors:
La 0.8722 0.7444 0.8131
La 0.1039 0.2078 0.6829
La 0.8961 0.7922 0.1829
La 0.1278 0.2556 0.3131
Ga 0.5453 0.0906 0.9477
Ga 0.4547 0.9094 0.4477
N 0.4947 0.9895 0.7821
N 0.7172 0.4345 0.1451
N 0.6503 0.3007 0.5051
N 0.3082 0.6164 0.3911
N 0.9456 0.8911 0.5377
N 0.0544 0.1089 0.0377
N 0.6918 0.3836 0.8911
N 0.2828 0.5655 0.6451
N 0.3497 0.6993 0.0051
N 0.5053 0.0105 0.2821
Np 0.7924 0.5848 0.5191
Np 0.2076 0.4152 0.0191

---

no.,spin magnetization (μB/cell),calculated volume (Å³ per cell)
1,1.3,112.9
2,5.1,237.8
3,22.3,220.5
4,2.0,65.3
5,2.3,110.7
6,0.0,235.3
7,0.0,192.5
8,0.0,542.4
9,1.6,312.1
10,4.4,219.9
11,1.9,60.5
12,2.0,266.3